[1]
DFT (PBE) results for Dy6Y2Sc after structural relaxation.

The space group is P-6m2 (No. 187) and the conventional cell measures 3.5593, 3.5593 and 25.7958 Å, with angles of 90.00, 90.00 and 120.00 degrees. The asymmetric unit holds Dy at (0.0000, 0.0000, 0.0666), Dy at (0.0000, 0.0000, 0.2868), Dy at (0.3333, 0.6667, 0.3973), Y at (0.3333, 0.6667, 0.1752) and Sc at (0.0000, 0.0000, 0.5000).

As for the total magnetization: 0.020 μB/atom. The calculated volume is 31.45 A^3/atom. Its total energy is -46.4 eV/cell. The calculation puts the formation energy at 57 meV per atom. As for the energy above the most stable polymorph in this dataset: 25 meV/atom.


[2]
DFT (PBE) results for Cd2SbAs after structural relaxation.

The space group is I4/mmm (No. 139) and the conventional cell measures 4.6901, 4.6901 and 8.5971 Å, with angles of 90.00, 90.00 and 90.00 degrees. The asymmetric unit holds Cd at (0.0000, 0.5000, 0.2500), Sb at (0.0000, 0.0000, 0.0000) and As at (0.0000, 0.0000, 0.5000).

As for the total magnetization: 0.000 μB/atom. The calculated volume is 23.64 A^3/atom. The uncorrected formation energy is 0.207 eV per atom. Its total energy is -19.5 eV/cell. As for the energy above the most stable polymorph in this dataset: 173 meV/atom.


[3]
DFT (PBE) results for SnIrSeBr2 after structural relaxation.

The space group is P4/mmm (No. 123) and the conventional cell measures 5.0665, 5.0665 and 5.0072 Å, with angles of 90.00, 90.00 and 90.00 degrees. The asymmetric unit holds Sn at (0.0000, 0.0000, 0.0000), Ir at (0.5000, 0.5000, 0.5000), Se at (0.5000, 0.5000, 0.0000) and Br at (0.0000, 0.5000, 0.5000).

As for the total magnetization: 0.000 μB/atom. The calculated volume is 25.71 A^3/atom. The uncorrected formation energy is 0.167 eV per atom. Its total energy is -18.9 eV/cell. As for the energy above the most stable polymorph in this dataset: 0 meV/atom.


[4]
DFT (PBE) results for TeP2SBr after structural relaxation.

The space group is P4/mmm (No. 123) and the conventional cell measures 5.0020, 5.0020 and 4.6646 Å, with angles of 90.00, 90.00 and 90.00 degrees. The asymmetric unit holds Te at (0.0000, 0.0000, 0.0000), P at (0.0000, 0.5000, 0.5000), S at (0.5000, 0.5000, 0.0000) and Br at (0.5000, 0.5000, 0.5000).

As for the total magnetization: 0.000 μB/atom. The calculated volume is 23.34 A^3/atom. The uncorrected formation energy is 1.308 eV per atom. Its total energy is -13.2 eV/cell. As for the energy above the most stable polymorph in this dataset: 180 meV/atom.